# 1
## CsPmAgF5 (PBE)

Data for a geometry-optimized CsPmAgF5 structure.

Computed properties:
Its magnetization is 0.030 μB per cell. Its space-group type is No. 15. The energy relative to the elements, uncorrected comes out at -2.961 eV per atom. Its density of states at the Fermi level is 0.0000 states/eV per atom.

Lattice parameters (Å, degrees): 6.873 6.873 8.743 99.49 99.49 112.41
Fractional positions:
Cs (0.165, 0.835, 0.750)
Cs (0.835, 0.165, 0.250)
Pm (0.500, 0.500, 0.000)
Pm (0.500, 0.500, 0.500)
Ag (0.176, 0.824, 0.250)
Ag (0.824, 0.176, 0.750)
F (0.150, 0.251, 0.934)
F (0.230, 0.598, 0.415)
F (0.251, 0.150, 0.434)
F (0.402, 0.770, 0.085)
F (0.440, 0.560, 0.750)
F (0.560, 0.440, 0.250)
F (0.598, 0.230, 0.915)
F (0.749, 0.850, 0.566)
F (0.770, 0.402, 0.585)
F (0.850, 0.749, 0.066)

# 2
## Pm5PrSn8 (PBE)

Data for a geometry-optimized Pm5PrSn8 structure.

Computed properties:
Its magnetization is 0.000 μB per cell. Its space-group type is No. 82. Its density of states at the Fermi level is 0.6751 states/eV per atom. The formation energy comes out at -0.561 eV per atom.

Lattice parameters (Å, degrees): 8.231 8.231 8.231 112.97 112.97 102.68
Fractional positions:
Pm (0.000, 0.000, 0.000)
Pm (0.074, 0.223, 0.579)
Pm (0.505, 0.926, 0.148)
Pm (0.644, 0.495, 0.421)
Pm (0.777, 0.356, 0.852)
Pr (0.250, 0.750, 0.500)
Sn (0.072, 0.630, 0.792)
Sn (0.238, 0.464, 0.078)
Sn (0.370, 0.161, 0.442)
Sn (0.386, 0.160, 0.922)
Sn (0.536, 0.614, 0.774)
Sn (0.719, 0.928, 0.558)
Sn (0.839, 0.281, 0.208)
Sn (0.840, 0.762, 0.226)

# 3
## FeCuPb2 (PBE)

Data for a geometry-optimized FeCuPb2 structure.

Computed properties:
The calculation puts the energy above the most stable polymorph in this dataset at 122.8 meV per atom. Its magnetization is 2.496 μB per cell. Its space-group type is No. 44. Its density of states at the Fermi level is 1.0695 states/eV per atom. The formation energy comes out at 0.454 eV per atom.

Lattice parameters (Å, degrees): 6.513 6.513 6.513 150.96 140.02 50.17
Fractional positions:
Fe (0.000, 0.000, 0.000)
Cu (0.836, 0.336, 0.500)
Pb (0.237, 0.737, 0.500)
Pb (0.513, 0.513, 0.000)

# 4
## NaLaNdSc (PBE)

Data for a geometry-optimized NaLaNdSc structure.

Computed properties:
Its magnetization is 0.001 μB per cell. Its space-group type is No. 216. Its density of states at the Fermi level is 1.1836 states/eV per atom. The formation energy comes out at 0.260 eV per atom.

Lattice parameters (Å, degrees): 5.669 5.669 5.669 60.00 60.00 60.00
Fractional positions:
Na (0.000, 0.000, 0.000)
La (0.250, 0.250, 0.250)
Nd (0.750, 0.750, 0.750)
Sc (0.500, 0.500, 0.500)

# 5
## Pm6AlHg (PBE)

Data for a geometry-optimized Pm6AlHg structure.

Computed properties:
Its magnetization is 0.000 μB per cell. Its space-group type is No. 123. Its density of states at the Fermi level is 1.4559 states/eV per atom. The formation energy comes out at -0.172 eV per atom.

Lattice parameters (Å, degrees): 4.883 4.883 9.781 90.00 90.00 90.00
Fractional positions:
Pm (0.000, 0.000, 0.000)
Pm (0.000, 0.000, 0.500)
Pm (0.000, 0.500, 0.244)
Pm (0.000, 0.500, 0.756)
Pm (0.500, 0.000, 0.244)
Pm (0.500, 0.000, 0.756)
Al (0.500, 0.500, 0.000)
Hg (0.500, 0.500, 0.500)

# 6
## Tb6RuBr10 (PBE)

Data for a geometry-optimized Tb6RuBr10 structure.

Computed properties:
Its magnetization is 2.004 μB per cell. Its space-group type is No. 2. The energy relative to the elements, uncorrected comes out at -1.553 eV per atom. Its density of states at the Fermi level is 0.4105 states/eV per atom.

Lattice parameters (Å, degrees): 7.410 9.238 9.313 107.80 96.54 104.78
Fractional positions:
Tb (0.034, 0.206, 0.410)
Tb (0.126, 0.549, 0.254)
Tb (0.358, 0.634, 0.679)
Tb (0.642, 0.366, 0.321)
Tb (0.874, 0.451, 0.746)
Tb (0.966, 0.794, 0.590)
Ru (0.000, 0.500, 0.500)
Br (0.089, 0.872, 0.329)
Br (0.220, 0.248, 0.156)
Br (0.247, 0.581, 0.955)
Br (0.340, 0.949, 0.774)
Br (0.455, 0.322, 0.585)
Br (0.545, 0.678, 0.415)
Br (0.660, 0.051, 0.226)
Br (0.753, 0.419, 0.045)
Br (0.780, 0.752, 0.844)
Br (0.911, 0.128, 0.671)

Q: Which value of magnetization does entry 3 give?
A: 2.496 μB per cell